Record 1
A plane-wave DFT calculation with PBE was carried out for an optimized crystal structure of MnTcSn6.

Computed properties:
The space group is C2/m (12). As for the magnetic moment: 0.27 μB per atom. The calculation puts the density at 6.88 g cm⁻³. Its formation energy is 0.295 eV per atom.

Unit cell a=5.838 b=5.838 c=6.650 alpha=96.74 beta=96.74 gamma=109.73
Element x y z (fractional)
Sn (0.912, 0.561, 0.762)
Sn (0.439, 0.088, 0.238)
Sn (0.561, 0.912, 0.762)
Sn (0.757, 0.757, 0.251)
Sn (0.088, 0.439, 0.238)
Mn (0.000, 0.000, 0.000)
Tc (0.500, 0.500, 0.500)
Sn (0.243, 0.243, 0.749)


Record 2
A plane-wave DFT calculation with PBE was carried out for an optimized crystal structure of MnTcSn.

Computed properties:
The space group is P4/nmm (129). As for the magnetic moment: 0.00 μB per atom. The calculation puts the density at 8.65 g cm⁻³. Its formation energy is 0.178 eV per atom.

Unit cell a=4.248 b=4.248 c=5.782 alpha=90.00 beta=90.00 gamma=90.00
Element x y z (fractional)
Mn (0.000, 0.500, 0.305)
Sn (0.000, 0.000, 0.000)
Sn (0.500, 0.500, 0.000)
Mn (0.500, 0.000, 0.695)
Tc (0.000, 0.000, 0.500)
Tc (0.500, 0.500, 0.500)


Record 3
A plane-wave DFT calculation with PBE was carried out for an optimized crystal structure of MnTc4Sn2.

Computed properties:
The space group is I4/mmm (139). As for the magnetic moment: 0.00 μB per atom. The calculation puts the density at 8.60 g cm⁻³. Its formation energy is 0.876 eV per atom.

Unit cell a=4.398 b=4.398 c=7.505 alpha=72.96 beta=72.96 gamma=90.00
Element x y z (fractional)
Tc (0.500, 0.000, 0.000)
Sn (0.637, 0.637, 0.725)
Sn (0.363, 0.363, 0.275)
Tc (0.836, 0.836, 0.328)
Tc (0.164, 0.164, 0.672)
Mn (0.000, 0.000, 0.000)
Tc (0.000, 0.500, 0.000)